Record 1
Material: Rh3WI
Method: DFT, GGA-PBE
State: optimized geometry

a b c (Å): 4.7675 4.7675 4.7675
angles (deg): 90.00 90.00 90.00
Closest atoms and distances in Å follow each position.
Fractional coordinates of all 5 atoms:
Rh (0.0000, 0.0000, 0.5000)  2 I 2.38
Rh (0.5000, 0.0000, 0.0000)  2 I 2.38
Rh (0.0000, 0.5000, 0.0000)  2 I 2.38
I (0.0000, 0.0000, 0.0000)  6 Rh 2.38
W (0.5000, 0.5000, 0.5000)  12 Rh 3.37

N(E_F) = 1.697 states/eV per atom
DFT total energy = -5.469 eV/atom
crystal system = cubic
energy above the lowest structure with this stoichiometry = 0.715 eV per atom
space group = Pm-3m

Record 2
Material: Li3Tb2ErS6
Method: DFT, GGA-PBE
State: optimized geometry

a b c (Å): 6.7808 6.7808 6.5750
angles (deg): 99.91 99.91 120.00
Closest atoms and distances in Å follow each position.
Fractional coordinates of all 12 atoms:
Tb (0.3332, 0.6668, 0.0000)  6 S 2.75
Tb (0.6668, 0.3332, 0.0000)  6 S 2.75
Li (0.1652, 0.8348, 0.5000)  6 S 2.71-2.77
Li (0.5000, 0.5000, 0.5000)  6 S 2.72-2.76
Li (0.8348, 0.1652, 0.5000)  6 S 2.71-2.77
Er (0.0000, 0.0000, 0.0000)  6 S 2.72
S (0.2466, 0.2466, 0.7500)  3 Li 2.71-2.76, 1 Er 2.72, 2 Tb 2.75
S (0.4136, 0.0837, 0.2507)  1 Er 2.72, 3 Li 2.72-2.77, 2 Tb 2.75
S (0.7534, 0.7534, 0.2500)  3 Li 2.71-2.76, 1 Er 2.72, 2 Tb 2.75
S (0.9163, 0.5864, 0.7493)  1 Er 2.72, 3 Li 2.72-2.77, 2 Tb 2.75
S (0.0837, 0.4136, 0.2507)  1 Er 2.72, 3 Li 2.72-2.77, 2 Tb 2.75
S (0.5864, 0.9163, 0.7493)  1 Er 2.72, 3 Li 2.72-2.77, 2 Tb 2.75

N(E_F) = 0.000 states/eV per atom
DFT total energy = -5.543 eV/atom
crystal system = monoclinic
space group = C2/m

Record 3
Material: FePtRh
Method: DFT, GGA-PBE
State: optimized geometry

a b c (Å): 4.0808 4.0808 4.0808
angles (deg): 60.00 60.00 60.00
Closest atoms and distances in Å follow each position.
Fractional coordinates of all 3 atoms:
Fe (0.7500, 0.7500, 0.7500)  4 Pt 2.50, 4 Rh 2.50
Pt (0.0000, 0.0000, 0.0000)  4 Fe 2.50
Rh (0.5000, 0.5000, 0.5000)  4 Fe 2.50

N(E_F) = 1.339 states/eV per atom
DFT total energy = -7.135 eV/atom
crystal system = cubic
energy above the lowest structure with this stoichiometry = 0.269 eV per atom
energy of formation = 14.4 kJ/mol of atoms
space group = F-43m

Record 4
Material: Li3In2Hg
Method: DFT, GGA-PBE
State: optimized geometry

a b c (Å): 3.3978 3.3978 9.9729
angles (deg): 90.00 90.00 90.00
Closest atoms and distances in Å follow each position.
Fractional coordinates of all 6 atoms:
In (0.5000, 0.5000, 0.1669)  8 Li 2.92-2.96
In (0.5000, 0.5000, 0.8331)  8 Li 2.92-2.96
Li (0.0000, 0.0000, 0.3398)  4 Hg 2.89, 4 In 2.96, 1 Li 3.20
Li (0.0000, 0.0000, 0.0000)  8 In 2.92
Li (0.0000, 0.0000, 0.6602)  4 Hg 2.89, 4 In 2.96, 1 Li 3.20
Hg (0.5000, 0.5000, 0.5000)  8 Li 2.89

N(E_F) = 0.337 states/eV per atom
DFT total energy = -2.228 eV/atom
crystal system = tetragonal
energy above the lowest structure with this stoichiometry = 0.006 eV per atom
energy of formation = -29.7 kJ/mol of atoms
space group = P4/mmm

Record 5
Material: ReGe
Method: DFT, GGA-PBE
State: optimized geometry

a b c (Å): 5.1335 4.8040 9.9395
angles (deg): 90.00 90.00 90.00
Closest atoms and distances in Å follow each position.
Fractional coordinates of all 16 atoms:
Re (0.3710, 0.0352, 0.3243)  5 Ge 2.47-2.66
Re (0.6442, 0.1858, 0.9356)  5 Ge 2.45-2.68
Re (0.6290, 0.5352, 0.1757)  5 Ge 2.47-2.66
Re (0.8558, 0.8142, 0.4356)  5 Ge 2.45-2.68
Re (0.3558, 0.6858, 0.5644)  5 Ge 2.45-2.68
Re (0.8710, 0.4648, 0.6757)  5 Ge 2.47-2.66
Re (0.1290, 0.9648, 0.8243)  5 Ge 2.47-2.66
Re (0.1442, 0.3142, 0.0644)  5 Ge 2.45-2.68
Ge (0.6817, 0.3393, 0.4434)  5 Re 2.45-2.68
Ge (0.3183, 0.8393, 0.0566)  5 Re 2.45-2.68
Ge (0.1754, 0.5258, 0.3051)  5 Re 2.51-2.66
Ge (0.1817, 0.1607, 0.5566)  5 Re 2.45-2.68
Ge (0.8183, 0.6607, 0.9434)  5 Re 2.45-2.68
Ge (0.3246, 0.4742, 0.8051)  5 Re 2.51-2.66
Ge (0.6754, 0.9742, 0.6949)  5 Re 2.51-2.66
Ge (0.8246, 0.0258, 0.1949)  5 Re 2.51-2.66

N(E_F) = 0.250 states/eV per atom
DFT total energy = -8.304 eV/atom
crystal system = orthorhombic
energy of formation = 22.1 kJ/mol of atoms
space group = P2_12_12_1

Record 6
Material: TmPaHgAu
Method: DFT, GGA-PBE
State: optimized geometry

a b c (Å): 5.1617 5.1617 5.1617
angles (deg): 60.00 60.00 60.00
Closest atoms and distances in Å follow each position.
Fractional coordinates of all 4 atoms:
Tm (0.5000, 0.5000, 0.5000)  4 Hg 3.16, 4 Au 3.16
Pa (0.0000, 0.0000, 0.0000)  4 Au 3.16, 4 Hg 3.16
Au (0.7500, 0.7500, 0.7500)  4 Pa 3.16, 4 Tm 3.16
Hg (0.2500, 0.2500, 0.2500)  4 Pa 3.16, 4 Tm 3.16

N(E_F) = 1.948 states/eV per atom
DFT total energy = -4.623 eV/atom
crystal system = cubic
energy of formation = -22.8 kJ/mol of atoms
space group = F-43m

Record 7
Material: NdHPt
Method: DFT, GGA-PBE
State: optimized geometry

a b c (Å): 3.6489 4.0833 4.0833
angles (deg): 120.00 90.00 90.00
Closest atoms and distances in Å follow each position.
Fractional coordinates of all 3 atoms:
H (0.1669, 0.6667, 0.3333)  3 Pt 2.36
Pt (0.1667, 0.0000, 0.0000)  3 H 2.36
Nd (0.6664, 0.3333, 0.6667)  6 H 2.98, 6 Pt 2.98

N(E_F) = 0.474 states/eV per atom
DFT total energy = -5.279 eV/atom
crystal system = hexagonal
energy above the lowest structure with this stoichiometry = 0.253 eV per atom
space group = P-6m2

Record 8
Material: TaTi2CdC
Method: DFT, GGA-PBE
State: optimized geometry

a b c (Å): 4.2585 4.2585 4.3024
angles (deg): 90.00 90.00 90.00
Closest atoms and distances in Å follow each position.
Fractional coordinates of all 5 atoms:
Cd (0.5000, 0.5000, 0.5000)  4 Ta 3.01, 8 Ti 3.03
Ti (0.5000, 0.0000, 0.0000)  2 C 2.13
Ti (0.0000, 0.5000, 0.0000)  2 C 2.13
Ta (0.0000, 0.0000, 0.5000)  2 C 2.15
C (0.0000, 0.0000, 0.0000)  4 Ti 2.13, 2 Ta 2.15

N(E_F) = 0.770 states/eV per atom
DFT total energy = -7.867 eV/atom
crystal system = tetragonal
energy of formation = -29.9 kJ/mol of atoms
space group = P4/mmm

Record 9
Material: Ta2AgSb
Method: DFT, GGA-PBE
State: optimized geometry

a b c (Å): 5.2261 5.2261 5.1624
angles (deg): 82.40 82.40 33.22
Closest atoms and distances in Å follow each position.
Fractional coordinates of all 4 atoms:
Sb (0.2576, 0.2576, 0.2379)  3 Ag 2.93-3.21, 7 Ta 2.97-3.00, 2 Sb 2.99
Ta (0.7463, 0.7463, 0.7435)  3 Ag 2.94-2.98, 4 Sb 2.97-3.00, 5 Ta 2.99-3.05
Ta (0.0032, 0.0032, 0.0007)  4 Ag 2.92-3.05, 3 Sb 2.98-2.99, 5 Ta 2.99-3.05
Ag (0.4929, 0.4929, 0.5179)  7 Ta 2.92-3.05, 3 Sb 2.93-3.21, 2 Ag 2.99

N(E_F) = 0.677 states/eV per atom
DFT total energy = -7.341 eV/atom
crystal system = monoclinic
space group = Cm

Record 10
Material: Nd3ErTm6
Method: DFT, GGA-PBE
State: optimized geometry

a b c (Å): 6.1242 9.3892 9.3767
angles (deg): 94.20 139.70 102.57
Closest atoms and distances in Å follow each position.
Fractional coordinates of all 10 atoms:
Tm (0.2021, 0.4024, 0.2017)  4 Nd 3.50-3.57, 6 Tm 3.52-3.55, 2 Er 3.53-3.54
Tm (0.7979, 0.5976, 0.7983)  4 Nd 3.50-3.57, 6 Tm 3.52-3.55, 2 Er 3.53-3.54
Tm (0.0996, 0.6984, 0.6004)  7 Tm 3.52-3.57, 3 Nd 3.53-3.55, 2 Er 3.54-3.55
Tm (0.3014, 0.1012, 0.8005)  5 Nd 3.54-3.57, 1 Er 3.54, 6 Tm 3.55-3.57
Tm (0.9004, 0.3016, 0.3996)  7 Tm 3.52-3.57, 3 Nd 3.53-3.55, 2 Er 3.54-3.55
Tm (0.6986, 0.8988, 0.1995)  5 Nd 3.54-3.57, 1 Er 3.54, 6 Tm 3.55-3.57
Nd (0.6039, 0.2037, 0.6031)  8 Tm 3.50-3.57, 1 Er 3.52, 3 Nd 3.56-3.61
Nd (0.3961, 0.7963, 0.3969)  8 Tm 3.50-3.57, 1 Er 3.52, 3 Nd 3.56-3.61
Nd (0.0000, 0.0000, 0.0000)  8 Tm 3.54-3.57, 4 Nd 3.56-3.57
Er (0.5000, 0.5000, 0.0000)  2 Nd 3.52, 10 Tm 3.53-3.55

N(E_F) = 1.365 states/eV per atom
DFT total energy = -4.545 eV/atom
crystal system = triclinic
energy above the lowest structure with this stoichiometry = 0.000 eV per atom
energy of formation = 2.3 kJ/mol of atoms
space group = P-1

Record 11
Material: Pr4NdHo7
Method: DFT, GGA-PBE
State: optimized geometry

a b c (Å): 6.8969 6.6161 11.9543
angles (deg): 75.19 49.43 81.46
Closest atoms and distances in Å follow each position.
Fractional coordinates of all 12 atoms:
Ho (0.7997, 0.5131, 0.9509)  5 Ho 3.40-3.61, 4 Pr 3.42-3.72, 1 Nd 3.52
Ho (0.0579, 0.3187, 0.6436)  5 Ho 3.40-3.73, 4 Pr 3.48-3.57
Ho (0.2801, 0.8126, 0.6171)  5 Ho 3.29-3.67, 4 Pr 3.36-3.59
Ho (0.9421, 0.6813, 0.3564)  5 Ho 3.40-3.73, 4 Pr 3.48-3.57
Ho (0.5000, 0.0000, 0.0000)  4 Pr 3.44-3.71, 2 Nd 3.45, 4 Ho 3.52-3.73
Ho (0.7199, 0.1874, 0.3829)  5 Ho 3.29-3.67, 4 Pr 3.36-3.59
Ho (0.2003, 0.4869, 0.0491)  5 Ho 3.40-3.61, 4 Pr 3.42-3.72, 1 Nd 3.52
Pr (0.4805, 0.3602, 0.7133)  8 Ho 3.36-3.72, 1 Nd 3.44, 2 Pr 3.54-3.60
Pr (0.6990, 0.8320, 0.6908)  8 Ho 3.44-3.83, 2 Pr 3.54-3.60
Pr (0.3010, 0.1680, 0.3092)  8 Ho 3.44-3.83, 2 Pr 3.54-3.60
Pr (0.5195, 0.6398, 0.2867)  8 Ho 3.36-3.72, 1 Nd 3.44, 2 Pr 3.54-3.60
Nd (0.0000, 0.0000, 0.0000)  2 Pr 3.44, 4 Ho 3.45-3.52

N(E_F) = 1.583 states/eV per atom
DFT total energy = -4.575 eV/atom
crystal system = triclinic
energy above the lowest structure with this stoichiometry = 0.000 eV per atom
energy of formation = 8.3 kJ/mol of atoms
space group = P-1

Record 12
Material: NdZn2Ga3
Method: DFT, GGA-PBE
State: optimized geometry

a b c (Å): 4.3545 8.6430 7.9822
angles (deg): 54.57 74.17 75.41
Closest atoms and distances in Å follow each position.
Fractional coordinates of all 12 atoms:
Zn (0.4832, 0.1696, 0.8640)  1 Zn 2.43, 4 Ga 2.51-2.58
Zn (0.8204, 0.6653, 0.6939)  7 Ga 2.58-2.84
Zn (0.1796, 0.3347, 0.3061)  7 Ga 2.58-2.84
Zn (0.5168, 0.8304, 0.1360)  1 Zn 2.43, 4 Ga 2.51-2.58
Ga (0.6397, 0.2016, 0.5190)  3 Zn 2.51-2.58
Ga (0.0069, 0.6590, 0.3273)  1 Ga 2.52, 3 Zn 2.58-2.80
Ga (0.3603, 0.7984, 0.4810)  3 Zn 2.51-2.58
Ga (0.6796, 0.5478, 0.0931)  4 Zn 2.56-2.72
Ga (0.9931, 0.3410, 0.6727)  1 Ga 2.52, 3 Zn 2.58-2.80
Ga (0.3204, 0.4522, 0.9069)  4 Zn 2.56-2.72
Nd (0.1487, 0.9012, 0.8013)  7 Ga 3.02-3.38, 6 Zn 3.17-3.35
Nd (0.8513, 0.0988, 0.1987)  7 Ga 3.02-3.38, 6 Zn 3.17-3.35

N(E_F) = 0.322 states/eV per atom
DFT total energy = -3.073 eV/atom
crystal system = monoclinic
energy of formation = -32.9 kJ/mol of atoms
space group = C2/m